Computed, not measured: a relaxed AcCeGa2 crystal at the PBE-GGA level of DFT.

a = 6.8248 Å, b = 6.8248 Å, c = 7.2020 Å
α = 90.00°, β = 90.00°, γ = 139.34°
Closest atoms and distances in Å follow each position.
Atoms (fractional coordinates):
Ac (0.0637, 0.9363, 0.7500)  8 Ga 3.33-3.45, 3 Ce 3.60-3.69
Ac (0.9363, 0.0637, 0.2500)  8 Ga 3.33-3.45, 3 Ce 3.60-3.69
Ce (0.2243, 0.7757, 0.2500)  6 Ga 3.12-3.18
Ce (0.7757, 0.2243, 0.7500)  6 Ga 3.12-3.18
Ga (0.3967, 0.6033, 0.5676)  2 Ga 2.63-2.82
Ga (0.3967, 0.6033, 0.9324)  2 Ga 2.63-2.82
Ga (0.6033, 0.3967, 0.0676)  2 Ga 2.63-2.82
Ga (0.6033, 0.3967, 0.4324)  2 Ga 2.63-2.82

Values from the calculation:
- SG = Cmcm (63)
- final energy (eV per cell) = -36.0